# ScSNO2 (GGA-PBE, relaxed)
data_ScSNO2
_chemical_formula_sum 'Sc1 S1 N1 O2'
_cell_length_a 3.9983
_cell_length_b 3.9983
_cell_length_c 4.5805
_cell_angle_alpha 90.00
_cell_angle_beta 90.00
_cell_angle_gamma 90.00
_space_group_name_H-M_alt 'P 1'
_space_group_IT_number 1
loop_
_space_group_symop_operation_xyz
'x,y,z'
loop_
_atom_site_label
_atom_site_fract_x
_atom_site_fract_y
_atom_site_fract_z
N1 0.0000 0.0000 0.5000
S1 0.5000 0.5000 0.5000
O1 0.5000 0.0000 0.0000
Sc1 0.0000 0.0000 0.0000
O2 0.0000 0.5000 0.0000
# Uncorrected formation energy, eV/f.u.: 0.321
# Total magnetization, μB/f.u.: 2.5
# Symmetry: No. 123
# Fermi-level density of states, states/eV per atom: 0.918


# NaSbRu3 (GGA-PBE, relaxed)
data_NaSbRu3
_chemical_formula_sum 'Na1 Sb1 Ru3'
_cell_length_a 4.4989
_cell_length_b 4.4989
_cell_length_c 4.4989
_cell_angle_alpha 90.00
_cell_angle_beta 90.00
_cell_angle_gamma 90.00
_space_group_name_H-M_alt 'P 1'
_space_group_IT_number 1
loop_
_space_group_symop_operation_xyz
'x,y,z'
loop_
_atom_site_label
_atom_site_fract_x
_atom_site_fract_y
_atom_site_fract_z
Ru1 0.0000 0.0000 0.5000
Ru2 0.5000 0.0000 0.0000
Na1 0.0000 0.0000 0.0000
Sb1 0.5000 0.5000 0.5000
Ru3 0.0000 0.5000 0.0000
# Uncorrected formation energy, eV/f.u.: 10.013
# Total magnetization, μB/f.u.: 1.9
# Symmetry: No. 221
# Fermi-level density of states, states/eV per atom: 1.683
# E above lowest polymorph, eV/atom: 0.637


# LaNbCl3 (GGA-PBE, relaxed)
data_LaNbCl3
_chemical_formula_sum 'La1 Nb1 Cl3'
_cell_length_a 4.9104
_cell_length_b 4.9104
_cell_length_c 4.9104
_cell_angle_alpha 90.00
_cell_angle_beta 90.00
_cell_angle_gamma 90.00
_space_group_name_H-M_alt 'P 1'
_space_group_IT_number 1
loop_
_space_group_symop_operation_xyz
'x,y,z'
loop_
_atom_site_label
_atom_site_fract_x
_atom_site_fract_y
_atom_site_fract_z
Cl1 0.0000 0.5000 0.0000
Cl2 0.0000 0.0000 0.5000
Cl3 0.5000 0.0000 0.0000
La1 0.5000 0.5000 0.5000
Nb1 0.0000 0.0000 0.0000
# Uncorrected formation energy, eV/f.u.: -3.286
# Total magnetization, μB/f.u.: 1.5
# Symmetry: No. 221
# Fermi-level density of states, states/eV per atom: 1.002
# E above lowest polymorph, eV/atom: 0.000


# AlFe4 (GGA-PBE, relaxed)
data_AlFe4
_chemical_formula_sum 'Al1 Fe4'
_cell_length_a 4.6594
_cell_length_b 4.6594
_cell_length_c 4.6594
_cell_angle_alpha 109.47
_cell_angle_beta 109.47
_cell_angle_gamma 109.47
_space_group_name_H-M_alt 'P 1'
_space_group_IT_number 1
loop_
_space_group_symop_operation_xyz
'x,y,z'
loop_
_atom_site_label
_atom_site_fract_x
_atom_site_fract_y
_atom_site_fract_z
Fe1 0.0000 0.0000 0.5000
Fe2 0.0000 0.5000 0.0000
Fe3 0.5000 0.5000 0.5000
Fe4 0.5000 0.0000 0.0000
Al1 0.0000 0.0000 0.0000
# Total magnetization, μB/f.u.: 10.3
# Symmetry: No. 229
# Fermi-level density of states, states/eV per atom: 0.651
# Energy of formation, meV per atom: 857
# E above lowest polymorph, eV/atom: 0.964


# RbZr2Tc (GGA-PBE, relaxed)
data_RbZr2Tc
_chemical_formula_sum 'Rb2 Zr4 Tc2'
_cell_length_a 7.8471
_cell_length_b 7.8471
_cell_length_c 7.9048
_cell_angle_alpha 60.24
_cell_angle_beta 60.24
_cell_angle_gamma 90.00
_space_group_name_H-M_alt 'P 1'
_space_group_IT_number 1
loop_
_space_group_symop_operation_xyz
'x,y,z'
loop_
_atom_site_label
_atom_site_fract_x
_atom_site_fract_y
_atom_site_fract_z
Zr1 0.8750 0.1249 0.7500
Rb1 0.2500 0.7500 0.5000
Zr2 0.8751 0.6250 0.2500
Tc1 0.7500 0.2500 0.5000
Zr3 0.8749 0.1250 0.2500
Zr4 0.3750 0.1251 0.7500
Rb2 0.5000 0.5000 0.0000
Tc2 0.0000 0.0000 0.0000
# Total magnetization, μB/f.u.: 0.0
# Symmetry: No. 141
# Fermi-level density of states, states/eV per atom: 1.892
# Energy of formation, meV per atom: 1144
# E above lowest polymorph, eV/atom: 0.150


# Cs3CdHg4 (GGA-PBE, relaxed)
data_Cs3CdHg4
_chemical_formula_sum 'Cs3 Cd1 Hg4'
_cell_length_a 7.2801
_cell_length_b 7.7121
_cell_length_c 8.4455
_cell_angle_alpha 122.55
_cell_angle_beta 115.53
_cell_angle_gamma 90.00
_space_group_name_H-M_alt 'P 1'
_space_group_IT_number 1
loop_
_space_group_symop_operation_xyz
'x,y,z'
loop_
_atom_site_label
_atom_site_fract_x
_atom_site_fract_y
_atom_site_fract_z
Cs1 0.1289 0.7776 0.3838
Hg1 0.6205 0.7572 0.8894
Cs2 0.7451 0.2224 0.6162
Hg2 0.6417 0.6243 0.4647
Cd1 0.4327 0.5000 0.0000
Hg3 0.7311 0.2428 0.1106
Cs3 0.1740 0.0000 0.0000
Hg4 0.1770 0.3757 0.5353
# Total magnetization, μB/f.u.: 0.0
# Symmetry: No. 5
# Fermi-level density of states, states/eV per atom: 0.676
# Energy of formation, meV per atom: -191


# NaTlBiF6 (GGA-PBE, relaxed)
data_NaTlBiF6
_chemical_formula_sum 'Na2 Tl2 Bi2 F12'
_cell_length_a 6.0485
_cell_length_b 6.0485
_cell_length_c 10.1697
_cell_angle_alpha 90.00
_cell_angle_beta 90.00
_cell_angle_gamma 120.00
_space_group_name_H-M_alt 'P 1'
_space_group_IT_number 1
loop_
_space_group_symop_operation_xyz
'x,y,z'
loop_
_atom_site_label
_atom_site_fract_x
_atom_site_fract_y
_atom_site_fract_z
F1 0.9883 0.3356 0.1336
F2 0.3356 0.9883 0.6336
F3 0.6528 0.6644 0.6336
Tl1 0.0000 0.0000 0.0000
F4 0.6644 0.0117 0.3664
Tl2 0.0000 0.0000 0.5000
Bi1 0.3333 0.6667 0.7500
Na1 0.6667 0.3333 0.7500
F5 0.0117 0.6644 0.8664
F6 0.3472 0.3356 0.3664
F7 0.6644 0.6528 0.1336
F8 0.3356 0.3472 0.8664
Na2 0.3333 0.6667 0.2500
F9 0.0117 0.3472 0.6336
F10 0.9883 0.6528 0.3664
F11 0.6528 0.9883 0.8664
Bi2 0.6667 0.3333 0.2500
F12 0.3472 0.0117 0.1336
# Uncorrected formation energy, eV/f.u.: -20.214
# Total magnetization, μB/f.u.: 0.0
# Symmetry: No. 163
# Fermi-level density of states, states/eV per atom: 0.463


# Ca3Mg9Cu2 (GGA-PBE, relaxed)
data_Ca3Mg9Cu2
_chemical_formula_sum 'Ca3 Mg9 Cu2'
_cell_length_a 4.8555
_cell_length_b 8.7617
_cell_length_c 8.7617
_cell_angle_alpha 81.97
_cell_angle_beta 73.91
_cell_angle_gamma 73.91
_space_group_name_H-M_alt 'P 1'
_space_group_IT_number 1
loop_
_space_group_symop_operation_xyz
'x,y,z'
loop_
_atom_site_label
_atom_site_fract_x
_atom_site_fract_y
_atom_site_fract_z
Ca1 0.3038 0.6962 0.6962
Mg1 0.6329 0.7309 0.0033
Mg2 0.0000 0.5000 0.5000
Mg3 0.6329 0.0033 0.7309
Ca2 0.6962 0.3038 0.3038
Mg4 0.1275 0.5915 0.1535
Cu1 0.5000 0.3334 0.6666
Cu2 0.5000 0.6666 0.3334
Mg5 0.3671 0.9967 0.2691
Ca3 0.0000 0.0000 0.0000
Mg6 0.1275 0.1535 0.5915
Mg7 0.8725 0.4085 0.8465
Mg8 0.8725 0.8465 0.4085
Mg9 0.3671 0.2691 0.9967
# Total magnetization, μB/f.u.: 0.0
# Symmetry: No. 71
# Fermi-level density of states, states/eV per atom: 0.700
# Energy of formation, meV per atom: -18